# PrNdIn6 | Alexandria | GGA-PBE | relaxed
data_PrNdIn6
_chemical_formula_sum 'Pr1 Nd1 In6'
_cell_length_a 4.727
_cell_length_b 4.727
_cell_length_c 9.459
_cell_angle_alpha 90.00
_cell_angle_beta 90.00
_cell_angle_gamma 90.00
_symmetry_space_group_name_H-M 'P 1'
_symmetry_Int_Tables_number 1
loop_
_symmetry_equiv_pos_as_xyz
'x,y,z'
loop_
_atom_site_label
_atom_site_type_symbol
_atom_site_fract_x
_atom_site_fract_y
_atom_site_fract_z
Pr1 Pr 0.000 0.000 0.000
Nd1 Nd 0.000 0.000 0.500
In1 In 0.000 0.500 0.251
In2 In 0.000 0.500 0.749
In3 In 0.500 0.000 0.251
In4 In 0.500 0.000 0.749
In5 In 0.500 0.500 0.000
In6 In 0.500 0.500 0.500
# * M_tot: 0.000 μB/f.u.
# * energy above the most stable polymorph in this dataset: 0 meV per atom
# * ΔH_f (0 K): -0.47 eV/atom

# Ac2Pm12Sm5 | Alexandria | GGA-PBE | relaxed
data_Ac2Pm12Sm5
_chemical_formula_sum 'Ac2 Pm12 Sm5'
_cell_length_a 10.971
_cell_length_b 10.971
_cell_length_c 6.331
_cell_angle_alpha 101.37
_cell_angle_beta 101.37
_cell_angle_gamma 65.49
_symmetry_space_group_name_H-M 'P 1'
_symmetry_Int_Tables_number 1
loop_
_symmetry_equiv_pos_as_xyz
'x,y,z'
loop_
_atom_site_label
_atom_site_type_symbol
_atom_site_fract_x
_atom_site_fract_y
_atom_site_fract_z
Ac1 Ac 0.223 0.777 0.000
Ac2 Ac 0.777 0.223 0.000
Pm1 Pm 0.052 0.542 0.795
Pm2 Pm 0.129 0.129 0.987
Pm3 Pm 0.145 0.646 0.394
Pm4 Pm 0.354 0.855 0.606
Pm5 Pm 0.440 0.440 0.715
Pm6 Pm 0.458 0.948 0.205
Pm7 Pm 0.542 0.052 0.795
Pm8 Pm 0.560 0.560 0.285
Pm9 Pm 0.646 0.145 0.394
Pm10 Pm 0.855 0.354 0.606
Pm11 Pm 0.871 0.871 0.013
Pm12 Pm 0.948 0.458 0.205
Sm1 Sm 0.000 0.000 0.500
Sm2 Sm 0.216 0.216 0.541
Sm3 Sm 0.328 0.328 0.141
Sm4 Sm 0.672 0.672 0.859
Sm5 Sm 0.784 0.784 0.459
# * M_tot: 0.000 μB/f.u.
# * energy above the most stable polymorph in this dataset: 0 meV per atom
# * ΔH_f (0 K): 0.11 eV/atom

# Ba2Li3CdPd12 | Alexandria | GGA-PBE | relaxed
data_Ba2Li3CdPd12
_chemical_formula_sum 'Ba2 Li3 Cd1 Pd12'
_cell_length_a 7.945
_cell_length_b 7.945
_cell_length_c 7.945
_cell_angle_alpha 62.23
_cell_angle_beta 62.23
_cell_angle_gamma 62.23
_symmetry_space_group_name_H-M 'P 1'
_symmetry_Int_Tables_number 1
loop_
_symmetry_equiv_pos_as_xyz
'x,y,z'
loop_
_atom_site_label
_atom_site_type_symbol
_atom_site_fract_x
_atom_site_fract_y
_atom_site_fract_z
Ba1 Ba 0.107 0.107 0.107
Ba2 Ba 0.893 0.893 0.893
Li1 Li 0.000 0.500 0.500
Li2 Li 0.500 0.000 0.500
Li3 Li 0.500 0.500 0.000
Cd1 Cd 0.500 0.500 0.500
Pd1 Pd 0.102 0.639 0.639
Pd2 Pd 0.146 0.146 0.601
Pd3 Pd 0.146 0.601 0.146
Pd4 Pd 0.361 0.361 0.898
Pd5 Pd 0.361 0.898 0.361
Pd6 Pd 0.399 0.854 0.854
Pd7 Pd 0.601 0.146 0.146
Pd8 Pd 0.639 0.102 0.639
Pd9 Pd 0.639 0.639 0.102
Pd10 Pd 0.854 0.399 0.854
Pd11 Pd 0.854 0.854 0.399
Pd12 Pd 0.898 0.361 0.361
# * M_tot: 0.000 μB/f.u.
# * ΔH_f (0 K): 0.08 eV/atom

# Ba2ErO3 | Alexandria | GGA-PBE | relaxed
data_Ba2ErO3
_chemical_formula_sum 'Ba4 Er2 O6'
_cell_length_a 3.931
_cell_length_b 4.399
_cell_length_c 14.155
_cell_angle_alpha 90.00
_cell_angle_beta 90.00
_cell_angle_gamma 90.00
_symmetry_space_group_name_H-M 'P 1'
_symmetry_Int_Tables_number 1
loop_
_symmetry_equiv_pos_as_xyz
'x,y,z'
loop_
_atom_site_label
_atom_site_type_symbol
_atom_site_fract_x
_atom_site_fract_y
_atom_site_fract_z
Ba1 Ba 0.000 0.000 0.153
Ba2 Ba 0.000 0.000 0.847
Ba3 Ba 0.500 0.500 0.347
Ba4 Ba 0.500 0.500 0.653
Er1 Er 0.000 0.000 0.500
Er2 Er 0.500 0.500 0.000
O1 O 0.000 0.000 0.342
O2 O 0.000 0.000 0.658
O3 O 0.000 0.500 0.500
O4 O 0.500 0.000 0.000
O5 O 0.500 0.500 0.158
O6 O 0.500 0.500 0.842
# * M_tot: 0.007 μB/f.u.
# * raw formation energy: -2.659 eV/atom

# Na3OsRh3Se8 | Alexandria | GGA-PBE | relaxed
data_Na3OsRh3Se8
_chemical_formula_sum 'Na3 Os1 Rh3 Se8'
_cell_length_a 7.576
_cell_length_b 7.576
_cell_length_c 8.016
_cell_angle_alpha 118.28
_cell_angle_beta 118.28
_cell_angle_gamma 59.93
_symmetry_space_group_name_H-M 'P 1'
_symmetry_Int_Tables_number 1
loop_
_symmetry_equiv_pos_as_xyz
'x,y,z'
loop_
_atom_site_label
_atom_site_type_symbol
_atom_site_fract_x
_atom_site_fract_y
_atom_site_fract_z
Na1 Na 0.000 0.000 0.000
Na2 Na 0.000 0.500 0.000
Na3 Na 0.500 0.000 0.000
Os1 Os 0.000 0.000 0.500
Rh1 Rh 0.000 0.500 0.500
Rh2 Rh 0.500 0.000 0.500
Rh3 Rh 0.500 0.500 0.500
Se1 Se 0.230 0.230 0.690
Se2 Se 0.230 0.731 0.690
Se3 Se 0.269 0.770 0.310
Se4 Se 0.270 0.270 0.311
Se5 Se 0.730 0.730 0.689
Se6 Se 0.731 0.230 0.690
Se7 Se 0.770 0.269 0.310
Se8 Se 0.770 0.770 0.310
# * M_tot: 1.556 μB/f.u.
# * raw formation energy: -0.520 eV/atom

# BaZnInGa2 | Alexandria | GGA-PBE | relaxed
data_BaZnInGa2
_chemical_formula_sum 'Ba2 Zn2 In2 Ga4'
_cell_length_a 4.642
_cell_length_b 4.643
_cell_length_c 11.426
_cell_angle_alpha 90.00
_cell_angle_beta 90.00
_cell_angle_gamma 90.00
_symmetry_space_group_name_H-M 'P 1'
_symmetry_Int_Tables_number 1
loop_
_symmetry_equiv_pos_as_xyz
'x,y,z'
loop_
_atom_site_label
_atom_site_type_symbol
_atom_site_fract_x
_atom_site_fract_y
_atom_site_fract_z
Ba1 Ba 0.000 0.000 0.000
Ba2 Ba 0.500 0.500 0.500
Zn1 Zn 0.000 0.000 0.385
Zn2 Zn 0.500 0.500 0.885
In1 In 0.000 0.500 0.752
In2 In 0.500 0.000 0.252
Ga1 Ga 0.000 0.000 0.611
Ga2 Ga 0.000 0.500 0.252
Ga3 Ga 0.500 0.000 0.752
Ga4 Ga 0.500 0.500 0.111
# * M_tot: 0.000 μB/f.u.
# * ΔH_f (0 K): -0.37 eV/atom

# Th2ZnBi | Alexandria | GGA-PBE | relaxed
data_Th2ZnBi
_chemical_formula_sum 'Th4 Zn2 Bi2'
_cell_length_a 6.321
_cell_length_b 4.332
_cell_length_c 8.936
_cell_angle_alpha 90.00
_cell_angle_beta 108.88
_cell_angle_gamma 90.00
_symmetry_space_group_name_H-M 'P 1'
_symmetry_Int_Tables_number 1
loop_
_symmetry_equiv_pos_as_xyz
'x,y,z'
loop_
_atom_site_label
_atom_site_type_symbol
_atom_site_fract_x
_atom_site_fract_y
_atom_site_fract_z
Th1 Th 0.191 0.250 0.418
Th2 Th 0.265 0.750 0.062
Th3 Th 0.735 0.250 0.938
Th4 Th 0.809 0.750 0.582
Zn1 Zn 0.117 0.250 0.793
Zn2 Zn 0.883 0.750 0.207
Bi1 Bi 0.377 0.750 0.710
Bi2 Bi 0.623 0.250 0.290
# * M_tot: 0.000 μB/f.u.
# * energy above the most stable polymorph in this dataset: 0 meV per atom
# * ΔH_f (0 K): -0.34 eV/atom

# Ce2HCl4 | Alexandria | GGA-PBE | relaxed
data_Ce2HCl4
_chemical_formula_sum 'Ce2 H1 Cl4'
_cell_length_a 9.081
_cell_length_b 9.081
_cell_length_c 9.081
_cell_angle_alpha 31.08
_cell_angle_beta 31.08
_cell_angle_gamma 31.08
_symmetry_space_group_name_H-M 'P 1'
_symmetry_Int_Tables_number 1
loop_
_symmetry_equiv_pos_as_xyz
'x,y,z'
loop_
_atom_site_label
_atom_site_type_symbol
_atom_site_fract_x
_atom_site_fract_y
_atom_site_fract_z
Ce1 Ce 0.084 0.084 0.084
Ce2 Ce 0.916 0.916 0.916
H1 H 0.000 0.000 0.000
Cl1 Cl 0.206 0.206 0.206
Cl2 Cl 0.384 0.384 0.384
Cl3 Cl 0.616 0.616 0.616
Cl4 Cl 0.794 0.794 0.794
# * M_tot: 3.006 μB/f.u.
# * raw total energy: -0.362 Ry/atom

# ZrPa2Ni | Alexandria | GGA-PBE | relaxed
data_ZrPa2Ni
_chemical_formula_sum 'Zr1 Pa2 Ni1'
_cell_length_a 3.080
_cell_length_b 3.080
_cell_length_c 8.995
_cell_angle_alpha 90.00
_cell_angle_beta 90.00
_cell_angle_gamma 90.00
_symmetry_space_group_name_H-M 'P 1'
_symmetry_Int_Tables_number 1
loop_
_symmetry_equiv_pos_as_xyz
'x,y,z'
loop_
_atom_site_label
_atom_site_type_symbol
_atom_site_fract_x
_atom_site_fract_y
_atom_site_fract_z
Zr1 Zr 0.000 0.000 0.000
Pa1 Pa 0.500 0.500 0.290
Pa2 Pa 0.500 0.500 0.710
Ni1 Ni 0.000 0.000 0.500
# * M_tot: 0.000 μB/f.u.
# * ΔH_f (0 K): -0.03 eV/atom

# Cu2Pt3 | Alexandria | GGA-PBE | relaxed
data_Cu2Pt3
_chemical_formula_sum 'Cu4 Pt6'
_cell_length_a 4.730
_cell_length_b 5.481
_cell_length_c 6.099
_cell_angle_alpha 77.10
_cell_angle_beta 75.31
_cell_angle_gamma 72.58
_symmetry_space_group_name_H-M 'P 1'
_symmetry_Int_Tables_number 1
loop_
_symmetry_equiv_pos_as_xyz
'x,y,z'
loop_
_atom_site_label
_atom_site_type_symbol
_atom_site_fract_x
_atom_site_fract_y
_atom_site_fract_z
Cu1 Cu 0.001 0.251 0.499
Cu2 Cu 0.200 0.550 0.101
Cu3 Cu 0.800 0.450 0.899
Cu4 Cu 0.999 0.749 0.501
Pt1 Pt 0.198 0.054 0.101
Pt2 Pt 0.392 0.357 0.696
Pt3 Pt 0.399 0.846 0.702
Pt4 Pt 0.601 0.154 0.298
Pt5 Pt 0.608 0.643 0.304
Pt6 Pt 0.802 0.946 0.899
# * M_tot: 0.000 μB/f.u.
# * energy above the most stable polymorph in this dataset: 47 meV per atom
# * ΔH_f (0 K): -0.12 eV/atom

# Sc5AgRu4 | Alexandria | GGA-PBE | relaxed
data_Sc5AgRu4
_chemical_formula_sum 'Sc5 Ag1 Ru4'
_cell_length_a 3.240
_cell_length_b 3.240
_cell_length_c 16.463
_cell_angle_alpha 90.00
_cell_angle_beta 90.00
_cell_angle_gamma 90.00
_symmetry_space_group_name_H-M 'P 1'
_symmetry_Int_Tables_number 1
loop_
_symmetry_equiv_pos_as_xyz
'x,y,z'
loop_
_atom_site_label
_atom_site_type_symbol
_atom_site_fract_x
_atom_site_fract_y
_atom_site_fract_z
Sc1 Sc 0.000 0.000 0.000
Sc2 Sc 0.000 0.000 0.191
Sc3 Sc 0.000 0.000 0.382
Sc4 Sc 0.000 0.000 0.618
Sc5 Sc 0.000 0.000 0.809
Ag1 Ag 0.500 0.500 0.500
Ru1 Ru 0.500 0.500 0.098
Ru2 Ru 0.500 0.500 0.295
Ru3 Ru 0.500 0.500 0.705
Ru4 Ru 0.500 0.500 0.902
# * M_tot: 0.000 μB/f.u.
# * ΔH_f (0 K): -0.55 eV/atom

# NaTh2H8 | Alexandria | GGA-PBE | relaxed
data_NaTh2H8
_chemical_formula_sum 'Na1 Th2 H8'
_cell_length_a 6.706
_cell_length_b 6.706
_cell_length_c 6.706
_cell_angle_alpha 146.23
_cell_angle_beta 135.89
_cell_angle_gamma 56.68
_symmetry_space_group_name_H-M 'P 1'
_symmetry_Int_Tables_number 1
loop_
_symmetry_equiv_pos_as_xyz
'x,y,z'
loop_
_atom_site_label
_atom_site_type_symbol
_atom_site_fract_x
_atom_site_fract_y
_atom_site_fract_z
Na1 Na 0.000 0.000 0.000
Th1 Th 0.334 0.334 0.000
Th2 Th 0.666 0.666 0.000
H1 H 0.092 0.839 0.253
H2 H 0.186 0.686 0.500
H3 H 0.273 0.500 0.773
H4 H 0.415 0.161 0.253
H5 H 0.585 0.839 0.747
H6 H 0.727 0.500 0.227
H7 H 0.814 0.314 0.500
H8 H 0.908 0.161 0.747
# * M_tot: 0.000 μB/f.u.
# * raw total energy: -0.317 Ry/atom

Which value of M_tot does entry 10 give?
0.000 μB/f.u.

Number 11 is which compound?
Sc5AgRu4